1.
Here is ScAsBr2 after structural relaxation from Alexandria. Energies are from GGA-PBE.

## Properties
As for the space-group type: No. 71. Its density of states at the Fermi level is 1.60 states/eV/f.u. The uncorrected formation energy comes out at -0.8005 eV per atom. The calculation puts the total magnetization at 0.00 Bohr magnetons per cell.

a b c (Å): 8.2416 8.2416 8.2416
angles (deg): 154.85 149.65 39.81
Atoms (fractional coordinates):
As 0.2500 0.7500 0.5000
Br 0.8939 0.8939 0.0000
Br 0.6061 0.6061 0.0000
Sc 0.7500 0.2500 0.5000

2.
Here is Sc3AsBr after structural relaxation from Alexandria. Energies are from GGA-PBE.

## Properties
As for the space-group type: No. 221. Its density of states at the Fermi level is 8.76 states/eV/f.u. The uncorrected formation energy comes out at -0.2647 eV per atom. The calculation puts the total magnetization at 2.32 Bohr magnetons per cell.

a b c (Å): 5.1318 5.1318 5.1318
angles (deg): 90.00 90.00 90.00
Each line ends with the local moment (μB).
Atoms (fractional coordinates):
Sc 0.0000 0.5000 0.0000  0.36
Sc 0.0000 0.0000 0.5000  0.60
Sc 0.5000 0.0000 0.0000  0.36
As 0.0000 0.0000 0.0000  -0.01
Br 0.5000 0.5000 0.5000  0.02

no.,energy above the most stable polymorph in this dataset (kJ/mol of formula units)
1,67
2,0